Record 1
Material: HfTi3Ga4
Method: DFT, GGA-PBE
State: optimized geometry

```
16
Lattice="9.277 0.000 0.000 0.000 5.831 0.000 0.000 0.000 4.867" Properties=species:S:1:pos:R:3 pbc="T T T"
Hf 0.000 0.000 0.000
Hf 4.638 0.000 0.000
Ti 0.000 2.916 0.000
Ti 2.319 0.000 1.721
Ti 2.319 2.916 1.607
Ti 4.638 2.916 0.000
Ti 6.958 0.000 3.146
Ti 6.958 2.916 3.260
Ga 0.000 1.519 2.434
Ga 0.000 4.312 2.434
Ga 2.319 1.507 4.101
Ga 2.319 4.325 4.101
Ga 4.638 1.519 2.434
Ga 4.638 4.312 2.434
Ga 6.958 1.507 0.766
Ga 6.958 4.325 0.766
```

Properties
- Energy above the most stable polymorph in this dataset: 0 meV/atom

=====

Record 2
Material: K4SiSe
Method: DFT, GGA-PBE
State: optimized geometry

```
6
Lattice="0.000 4.791 4.791 4.791 0.000 4.791 4.791 4.791 0.000" Properties=species:S:1:pos:R:3 pbc="T T T"
K 1.186 1.186 1.186
K 3.605 3.605 1.186
K 3.605 1.186 3.605
K 1.186 3.605 3.605
Si 4.791 4.791 4.791
Se 7.187 7.187 7.187
```

Properties
- Formation energy without anion corrections: 0.342 eV/atom